The following is a PBE-GGA calculation of crystalline LiGdErAl at its relaxed geometry, from Alexandria via LeMat-Bulk.

Cell lengths 7.291, 7.291, 7.291 Å; angles 90.00, 90.00, 90.00 degrees
Space group F-43m (No. 216)
Asymmetric unit:
Li: 0.000 0.000 0.000 (multiplicity 4)
Gd: 0.250 0.250 0.250 (multiplicity 4)
Er: 0.250 0.250 0.750 (multiplicity 4)
Al: 0.000 0.000 0.500 (multiplicity 4)

* formation enthalpy at 0 K: -0.210 eV/atom

---

The following is a PBE-GGA calculation of crystalline GdErLuAl at its relaxed geometry, from Alexandria via LeMat-Bulk.

Cell lengths 7.495, 7.495, 7.495 Å; angles 90.00, 90.00, 90.00 degrees
Space group F-43m (No. 216)
Asymmetric unit:
Gd: 0.000 0.000 0.000 (multiplicity 4)
Er: 0.000 0.000 0.500 (multiplicity 4)
Lu: 0.250 0.250 0.750 (multiplicity 4)
Al: 0.250 0.250 0.250 (multiplicity 4)

* formation enthalpy at 0 K: -0.089 eV/atom

---

The following is a PBE-GGA calculation of crystalline GdErMgAl at its relaxed geometry, from Alexandria via LeMat-Bulk.

Cell lengths 7.354, 7.354, 7.354 Å; angles 90.00, 90.00, 90.00 degrees
Space group F-43m (No. 216)
Asymmetric unit:
Gd: 0.000 0.000 0.000 (multiplicity 4)
Er: 0.000 0.000 0.500 (multiplicity 4)
Mg: 0.250 0.250 0.750 (multiplicity 4)
Al: 0.250 0.250 0.250 (multiplicity 4)

* formation enthalpy at 0 K: -0.267 eV/atom

---

The following is a PBE-GGA calculation of crystalline GdErMnAl at its relaxed geometry, from Alexandria via LeMat-Bulk.

Cell lengths 7.175, 7.175, 7.175 Å; angles 90.00, 90.00, 90.00 degrees
Space group F-43m (No. 216)
Asymmetric unit:
Gd: 0.000 0.000 0.000 (multiplicity 4)
Er: 0.000 0.000 0.500 (multiplicity 4)
Mn: 0.250 0.250 0.750 (multiplicity 4)
Al: 0.250 0.250 0.250 (multiplicity 4)

* formation enthalpy at 0 K: -0.086 eV/atom

---

The following is a PBE-GGA calculation of crystalline NdGdErAl at its relaxed geometry, from Alexandria via LeMat-Bulk.

Cell lengths 7.642, 7.642, 7.642 Å; angles 90.00, 90.00, 90.00 degrees
Space group F-43m (No. 216)
Asymmetric unit:
Nd: 0.000 0.000 0.000 (multiplicity 4)
Gd: 0.000 0.000 0.500 (multiplicity 4)
Er: 0.250 0.250 0.750 (multiplicity 4)
Al: 0.250 0.250 0.250 (multiplicity 4)

* formation enthalpy at 0 K: -0.076 eV/atom

---

The following is a PBE-GGA calculation of crystalline GdErAlNi at its relaxed geometry, from Alexandria via LeMat-Bulk.

Cell lengths 7.029, 7.029, 7.029 Å; angles 90.00, 90.00, 90.00 degrees
Space group F-43m (No. 216)
Asymmetric unit:
Gd: 0.000 0.000 0.000 (multiplicity 4)
Er: 0.000 0.000 0.500 (multiplicity 4)
Al: 0.250 0.250 0.750 (multiplicity 4)
Ni: 0.250 0.250 0.250 (multiplicity 4)

* formation enthalpy at 0 K: -0.313 eV/atom

---

Q: Number 5 is which compound?
A: NdGdErAl